Tm8CdTc2: relaxed, PBE.

a = 8.614 Å, b = 15.509 Å, c = 5.234 Å
α = 90.00°, β = 127.39°, γ = 90.00°
Space group Cm (No. 8)
One atom of each set of equivalent atoms:
Tm 0.000 0.000 0.000 [2 per cell]
Tm 0.057 0.389 0.557 [4 per cell]
Tm 0.274 0.000 0.774 [2 per cell]
Tm 0.384 0.209 0.885 [4 per cell]
Tm 0.416 0.333 0.417 [4 per cell]
Cd 0.202 0.500 0.202 [2 per cell]
Tc 0.186 0.164 0.187 [4 per cell]

Results
The polymorph energy (0 for the lowest one) comes out at 0.0 kJ/mol of atoms. The calculated total energy is -5.330 eV per atom. The value obtained for the calculated density is 9.924 g/cm3. The calculation puts the formation energy at -110 meV per atom.